(1)
Here is an optimized crystal structure of PmNdZnIn from Alexandria. Energies are from GGA-PBE.

abc: 7.5807 7.5807 7.5807
angles: 90.00 90.00 90.00
Space group F-43m (No. 216)
Unique sites:
Pm (0.0000, 0.0000, 0.0000) [4 per cell]
Nd (0.0000, 0.0000, 0.5000) [4 per cell]
Zn (0.2500, 0.2500, 0.2500) [4 per cell]
In (0.2500, 0.2500, 0.7500) [4 per cell]

Values from the calculation:
* excess energy over the best structure of this formula in the dataset: 17 meV per atom
* total energy: -3.7701 eV/atom


(2)
Here is an optimized crystal structure of PmNdZnIn from Alexandria. Energies are from GGA-PBE.

abc: 3.7324 3.7324 7.7035
angles: 90.00 90.00 90.00
Space group P4mm (No. 99)
Unique sites:
Pm (0.0000, 0.0000, 0.0000) [1 per cell]
Nd (0.0000, 0.0000, 0.4613) [1 per cell]
Zn (0.5000, 0.5000, 0.2267) [1 per cell]
In (0.5000, 0.5000, 0.7333) [1 per cell]

Values from the calculation:
* excess energy over the best structure of this formula in the dataset: 0 meV per atom
* total energy: -3.7876 eV/atom


(3)
Here is an optimized crystal structure of Pr5Nd2In5 from Alexandria. Energies are from GGA-PBE.

abc: 11.8044 5.3592 12.3803
angles: 90.00 108.97 90.00
Space group C2/m (No. 12)
Unique sites:
Pr (0.0000, 0.0000, 0.0000) [2 per cell]
Pr (0.1323, 0.0000, 0.7754) [4 per cell]
Pr (0.1552, 0.0000, 0.5021) [4 per cell]
Nd (0.0685, 0.5000, 0.2561) [4 per cell]
In (0.0000, 0.5000, 0.5000) [2 per cell]
In (0.1761, 0.5000, 0.9624) [4 per cell]
In (0.2346, 0.0000, 0.2711) [4 per cell]

Values from the calculation:
* total energy: -4.2463 eV/atom


(4)
Here is an optimized crystal structure of Pr3NdIn3 from Alexandria. Energies are from GGA-PBE.

abc: 11.0174 11.0842 7.3716
angles: 90.00 90.00 90.00
Space group Cmmm (No. 65)
Unique sites:
Pr (0.0000, 0.2423, 0.0000) [4 per cell]
Pr (0.2376, 0.0000, 0.5000) [4 per cell]
Pr (0.2421, 0.0000, 0.0000) [4 per cell]
Nd (0.0000, 0.2435, 0.5000) [4 per cell]
In (0.0000, 0.5000, 0.2541) [4 per cell]
In (0.2500, 0.2500, 0.2525) [8 per cell]

Values from the calculation:
* excess energy over the best structure of this formula in the dataset: 5 meV per atom
* total energy: -4.2412 eV/atom


(5)
Here is an optimized crystal structure of PrNd4In from Alexandria. Energies are from GGA-PBE.

abc: 10.0946 14.4821 6.4765
angles: 90.00 116.35 90.00
Space group C2/m (No. 12)
Unique sites:
Pr (0.1411, 0.0000, 0.4525) [4 per cell]
Nd (0.0000, 0.2545, 0.5000) [4 per cell]
Nd (0.0026, 0.5000, 0.7327) [4 per cell]
Nd (0.1853, 0.1254, 0.0051) [8 per cell]
In (0.0000, 0.3089, 0.0000) [4 per cell]

Values from the calculation:
* excess energy over the best structure of this formula in the dataset: 171 meV per atom
* total energy: -4.4029 eV/atom


(6)
Here is an optimized crystal structure of Pr3Nd3In from Alexandria. Energies are from GGA-PBE.

abc: 9.6473 5.8043 9.6535
angles: 90.00 119.96 90.00
Space group P2_1/m (No. 11)
Unique sites:
Pr (0.0670, 0.2500, 0.3178) [2 per cell]
Pr (0.1825, 0.2500, 0.7487) [2 per cell]
Pr (0.2491, 0.7500, 0.5663) [2 per cell]
Nd (0.1066, 0.7500, 0.1234) [2 per cell]
Nd (0.3759, 0.7500, 0.9826) [2 per cell]
Nd (0.4837, 0.2500, 0.6078) [2 per cell]
In (0.3332, 0.2500, 0.1663) [2 per cell]

Values from the calculation:
* excess energy over the best structure of this formula in the dataset: 0 meV per atom
* total energy: -4.5805 eV/atom


(7)
Here is an optimized crystal structure of PrNd6In5 from Alexandria. Energies are from GGA-PBE.

abc: 5.1936 15.9153 8.7675
angles: 90.00 90.05 90.00
Space group C2/m (No. 12)
Unique sites:
Pr (0.0000, 0.0000, 0.0000) [2 per cell]
Nd (0.0000, 0.1730, 0.2519) [8 per cell]
Nd (0.9997, 0.5000, 0.2727) [4 per cell]
In (0.0000, 0.0000, 0.5000) [2 per cell]
In (0.0000, 0.3292, 0.5000) [4 per cell]
In (0.0000, 0.3511, 0.0000) [4 per cell]

Values from the calculation:
* excess energy over the best structure of this formula in the dataset: 13 meV per atom
* total energy: -4.3031 eV/atom


(8)
Here is an optimized crystal structure of Pr7NdIn2 from Alexandria. Energies are from GGA-PBE.

abc: 9.4287 16.0093 5.5626
angles: 90.00 90.00 90.00
Space group Cmmm (No. 65)
Unique sites:
Pr (0.0000, 0.0000, 0.0000) [2 per cell]
Pr (0.0000, 0.2741, 0.5000) [4 per cell]
Pr (0.1816, 0.3783, 0.0000) [8 per cell]
Nd (0.0000, 0.5000, 0.5000) [2 per cell]
In (0.0000, 0.1957, 0.0000) [4 per cell]

Values from the calculation:
* total energy: -4.0739 eV/atom


(9)
Here is an optimized crystal structure of Pr5NdIn5 from Alexandria. Energies are from GGA-PBE.

abc: 17.6745 6.0117 6.6845
angles: 90.00 90.09 90.00
Space group C2/m (No. 12)
Unique sites:
Pr (0.0000, 0.0000, 0.0000) [2 per cell]
Pr (0.1583, 0.5000, 0.9989) [4 per cell]
Pr (0.1774, 0.5000, 0.4990) [4 per cell]
Nd (0.0000, 0.0000, 0.5000) [2 per cell]
In (0.0000, 0.5000, 0.5000) [2 per cell]
In (0.1641, 0.0000, 0.2377) [4 per cell]
In (0.1641, 0.0000, 0.7619) [4 per cell]

Values from the calculation:
* total energy: -4.0832 eV/atom


(10)
Here is an optimized crystal structure of Pr2Nd3In4 from Alexandria. Energies are from GGA-PBE.

abc: 9.4576 5.4754 10.5298
angles: 90.00 90.20 90.00
Space group C2/m (No. 12)
Unique sites:
Pr (0.1671, 0.0000, 0.2814) [4 per cell]
Nd (0.0000, 0.5000, 0.5000) [2 per cell]
Nd (0.1665, 0.0000, 0.9230) [4 per cell]
In (0.0002, 0.5000, 0.1497) [4 per cell]
In (0.1663, 0.0000, 0.6011) [4 per cell]

Values from the calculation:
* excess energy over the best structure of this formula in the dataset: 0 meV per atom
* total energy: -4.2823 eV/atom


(11)
Here is an optimized crystal structure of PrNd5In4 from Alexandria. Energies are from GGA-PBE.

abc: 8.4071 9.3008 8.8144
angles: 90.00 90.00 90.00
Space group Pmmn (No. 59, origin choice 2)
Unique sites:
Pr (0.2500, 0.2500, 0.1544) [2 per cell]
Nd (0.0028, 0.5530, 0.2323) [8 per cell]
Nd (0.2500, 0.7500, 0.5807) [2 per cell]
In (0.0889, 0.7500, 0.9408) [4 per cell]
In (0.2500, 0.0920, 0.4902) [4 per cell]

Values from the calculation:
* excess energy over the best structure of this formula in the dataset: 253 meV per atom
* total energy: -4.0905 eV/atom


(12)
Here is an optimized crystal structure of Pr3Nd2In3 from Alexandria. Energies are from GGA-PBE.

abc: 4.5485 5.0978 21.2391
angles: 90.00 90.00 90.00
Space group Immm (No. 71)
Unique sites:
Pr (0.0000, 0.0000, 0.0000) [2 per cell]
Pr (0.0000, 0.5000, 0.1194) [4 per cell]
Nd (0.0000, 0.0000, 0.2363) [4 per cell]
In (0.0000, 0.0000, 0.5000) [2 per cell]
In (0.0000, 0.5000, 0.3750) [4 per cell]

Values from the calculation:
* excess energy over the best structure of this formula in the dataset: 0 meV per atom
* total energy: -4.3725 eV/atom


(13)
Here is an optimized crystal structure of PrNdIn2 from Alexandria. Energies are from GGA-PBE.

abc: 7.7766 7.7766 7.7766
angles: 90.00 90.00 90.00
Space group Fm-3m (No. 225)
Unique sites:
Pr (0.0000, 0.0000, 0.0000) [4 per cell]
Nd (0.0000, 0.0000, 0.5000) [4 per cell]
In (0.2500, 0.2500, 0.2500) [8 per cell]

Values from the calculation:
* total energy: -4.2505 eV/atom


(14)
Here is an optimized crystal structure of Pr2Nd3In from Alexandria. Energies are from GGA-PBE.

abc: 5.0034 15.7178 5.0205
angles: 90.00 90.00 90.00
Space group Cmmm (No. 65)
Unique sites:
Pr (0.0000, 0.1625, 0.0000) [4 per cell]
Nd (0.0000, 0.0000, 0.5000) [2 per cell]
Nd (0.0000, 0.3387, 0.5000) [4 per cell]
In (0.0000, 0.5000, 0.0000) [2 per cell]

Values from the calculation:
* excess energy over the best structure of this formula in the dataset: 0 meV per atom
* total energy: -4.5853 eV/atom


(15)
Here is an optimized crystal structure of Pr3NdIn3 from Alexandria. Energies are from GGA-PBE.

abc: 9.6578 9.6578 9.6578
angles: 90.00 90.00 90.00
Space group P2_13 (No. 198)
Unique sites:
Pr (0.0740, 0.4260, 0.5740) [4 per cell]
Pr (0.1744, 0.8256, 0.3256) [4 per cell]
Pr (0.1749, 0.1749, 0.1749) [4 per cell]
Nd (0.0749, 0.5749, 0.9251) [4 per cell]
In (0.0004, 0.2510, 0.8734) [12 per cell]

Values from the calculation:
* excess energy over the best structure of this formula in the dataset: 0 meV per atom
* total energy: -4.2460 eV/atom


(16)
Here is an optimized crystal structure of PrNdIn4 from Alexandria. Energies are from GGA-PBE.

abc: 4.7595 7.5831 9.1985
angles: 90.00 90.00 90.00
Space group Imm2 (No. 44)
Unique sites:
Pr (0.0000, 0.0000, 0.0000) [2 per cell]
Nd (0.0000, 0.5000, 0.1181) [2 per cell]
In (0.0000, 0.2020, 0.3993) [4 per cell]
In (0.0000, 0.2967, 0.7176) [4 per cell]

Values from the calculation:
* excess energy over the best structure of this formula in the dataset: 0 meV per atom
* total energy: -3.8972 eV/atom


(17)
Here is an optimized crystal structure of Pr3Nd7In2 from Alexandria. Energies are from GGA-PBE.

abc: 5.7198 3.6842 19.4396
angles: 90.00 98.22 90.00
Space group P2/m (No. 10)
Unique sites:
Pr (0.0000, 0.0000, 0.0000) [1 per cell]
Pr (0.3190, 0.5000, 0.6390) [2 per cell]
Nd (0.0790, 0.5000, 0.1514) [2 per cell]
Nd (0.2316, 0.0000, 0.4628) [2 per cell]
Nd (0.4054, 0.0000, 0.8158) [2 per cell]
Nd (0.5000, 0.5000, 0.0000) [1 per cell]
In (0.1489, 0.0000, 0.2954) [2 per cell]

Values from the calculation:
* total energy: -4.4719 eV/atom


(18)
Here is an optimized crystal structure of Pr2Nd3In4 from Alexandria. Energies are from GGA-PBE.

abc: 7.3296 16.5318 9.5653
angles: 90.00 90.00 90.00
Space group Cmce (No. 64)
Unique sites:
Pr (0.0000, 0.1075, 0.0669) [8 per cell]
Nd (0.0000, 0.0000, 0.5000) [4 per cell]
Nd (0.2500, 0.2215, 0.7500) [8 per cell]
In (0.0000, 0.1877, 0.4704) [8 per cell]
In (0.2500, 0.0284, 0.7500) [8 per cell]

Values from the calculation:
* excess energy over the best structure of this formula in the dataset: 123 meV per atom
* total energy: -4.1594 eV/atom


(19)
Here is an optimized crystal structure of Pr2Nd3In from Alexandria. Energies are from GGA-PBE.

abc: 17.6433 6.9682 6.6763
angles: 90.00 100.45 90.00
Space group C2/c (No. 15)
Unique sites:
Pr (0.1601, 0.0977, 0.0739) [8 per cell]
Nd (0.0000, 0.2741, 0.7500) [4 per cell]
Nd (0.1648, 0.3892, 0.5365) [8 per cell]
In (0.0000, 0.2192, 0.2500) [4 per cell]

Values from the calculation:
* excess energy over the best structure of this formula in the dataset: 51 meV per atom
* total energy: -4.5348 eV/atom


(20)
Here is an optimized crystal structure of Pr7NdIn4 from Alexandria. Energies are from GGA-PBE.

abc: 14.8124 5.9068 10.9147
angles: 90.00 123.55 90.00
Space group C2/m (No. 12)
Unique sites:
Pr (0.0000, 0.0000, 0.0000) [2 per cell]
Pr (0.0625, 0.5000, 0.3921) [4 per cell]
Pr (0.2045, 0.5000, 0.8796) [4 per cell]
Pr (0.2173, 0.0000, 0.6548) [4 per cell]
Nd (0.0000, 0.5000, 0.0000) [2 per cell]
In (0.0569, 0.0000, 0.7545) [4 per cell]
In (0.1817, 0.0000, 0.3324) [4 per cell]

Values from the calculation:
* total energy: -4.2508 eV/atom


(21)
Here is an optimized crystal structure of PrNd4In2 from Alexandria. Energies are from GGA-PBE.

abc: 6.9095 11.4733 5.5956
angles: 90.00 90.00 90.00
Space group Cmmm (No. 65)
Unique sites:
Pr (0.0000, 0.0000, 0.0000) [2 per cell]
Nd (0.0000, 0.2215, 0.5000) [4 per cell]
Nd (0.0000, 0.3556, 0.0000) [4 per cell]
In (0.2080, 0.5000, 0.5000) [4 per cell]

Values from the calculation:
* excess energy over the best structure of this formula in the dataset: 0 meV per atom
* total energy: -4.3705 eV/atom


Values for formation enthalpy at 0 K, eV/atom, ordered as above
-0.387 -0.405 -0.319 -0.338 0.029 -0.098 -0.380 0.296 -0.233 -0.414 -0.133 -0.361 -0.494 -0.152 -0.343 -0.480 -0.039 -0.291 -0.101 -0.153 -0.181
Values for calculated volume, Å³/f.u., ordered as above
108.91 107.32 370.33 225.05 212.11 234.16 362.35 419.83 355.13 272.63 344.61 246.24 117.57 197.41 225.21 166.00 405.44 289.76 201.80 397.96 221.79